1.
The following is a GGA-PBE calculation of crystalline MgFeSb at its relaxed geometry, from Alexandria.

Computed properties:
E_form (uncorrected), eV per atom: -0.123
Total energy, eV/cell: -29.09
Total magnetic moment, μB/cell: 4.715

Cell lengths 4.220, 4.222, 6.500 Å; angles 89.57, 89.47, 89.25 degrees
Atoms (fractional coordinates):
Mg: 0.249 0.248 0.204
Mg: 0.751 0.752 0.796
Fe: 0.224 0.777 0.500
Fe: 0.776 0.223 0.500
Sb: 0.263 0.264 0.755
Sb: 0.737 0.736 0.245


2.
The following is a GGA-PBE calculation of crystalline MgFeSb at its relaxed geometry, from Alexandria.

Computed properties:
E_form (uncorrected), eV per atom: 0.145
Total energy, eV/cell: -13.74
Total magnetic moment, μB/cell: 1.893

Cell lengths 4.393, 4.393, 3.429 Å; angles 90.00, 90.00, 120.00 degrees
Atoms (fractional coordinates):
Mg: 0.000 0.000 0.000
Fe: 0.333 0.667 0.500
Sb: 0.667 0.333 0.500


3.
The following is a GGA-PBE calculation of crystalline Mg2FeSb at its relaxed geometry, from Alexandria.

Computed properties:
E above lowest polymorph, meV per atom: 24.0
E_form (uncorrected), eV per atom: 0.103
Total energy, eV/cell: -15.36
Total magnetic moment, μB/cell: 2.269

Cell lengths 5.308, 5.308, 5.308 Å; angles 134.51, 134.51, 66.29 degrees
Atoms (fractional coordinates):
Mg: 0.250 0.750 0.500
Mg: 0.750 0.250 0.500
Fe: 0.000 0.000 0.000
Sb: 0.500 0.500 0.000


4.
The following is a GGA-PBE calculation of crystalline MgFeSb at its relaxed geometry, from Alexandria.

Computed properties:
E_form (uncorrected), eV per atom: 0.007
Total energy, eV/cell: -28.32
Total magnetic moment, μB/cell: 3.579

Cell lengths 6.841, 6.841, 4.933 Å; angles 103.06, 103.06, 32.86 degrees
Atoms (fractional coordinates):
Mg: 0.000 0.000 0.000
Mg: 0.719 0.719 0.123
Fe: 0.372 0.372 0.186
Fe: 0.924 0.924 0.453
Sb: 0.322 0.322 0.661
Sb: 0.569 0.569 0.527


5.
The following is a GGA-PBE calculation of crystalline Mg2FeSb at its relaxed geometry, from Alexandria.

Computed properties:
E above lowest polymorph, meV per atom: 0.0
E_form (uncorrected), eV per atom: 0.079
Total energy, eV/cell: -15.46
Total magnetic moment, μB/cell: 2.354

Cell lengths 4.265, 4.265, 4.126 Å; angles 90.00, 90.00, 90.00 degrees
Atoms (fractional coordinates):
Mg: 0.000 0.500 0.000
Mg: 0.500 0.000 0.000
Fe: 0.000 0.000 0.500
Sb: 0.500 0.500 0.500


6.
The following is a GGA-PBE calculation of crystalline MgFe2Sb2 at its relaxed geometry, from Alexandria.

Computed properties:
E above lowest polymorph, meV per atom: 0.0
E_form (uncorrected), eV per atom: 0.151
Total energy, eV/cell: -52.02
Total magnetic moment, μB/cell: 8.875

Cell lengths 7.227, 7.227, 3.519 Å; angles 90.00, 90.00, 90.00 degrees
Atoms (fractional coordinates):
Mg: 0.000 0.000 0.000
Mg: 0.500 0.500 0.000
Fe: 0.122 0.378 0.000
Fe: 0.378 0.878 0.000
Fe: 0.622 0.122 0.000
Fe: 0.878 0.622 0.000
Sb: 0.168 0.668 0.500
Sb: 0.332 0.168 0.500
Sb: 0.668 0.832 0.500
Sb: 0.832 0.332 0.500


7.
The following is a GGA-PBE calculation of crystalline MgFe2Sb at its relaxed geometry, from Alexandria.

Computed properties:
E_form (uncorrected), eV per atom: 0.283
Total energy, eV/cell: -21.51
Total magnetic moment, μB/cell: 4.793

Cell lengths 2.929, 4.342, 5.311 Å; angles 90.00, 94.53, 90.00 degrees
Atoms (fractional coordinates):
Mg: 0.000 0.000 0.000
Fe: 0.365 0.500 0.778
Fe: 0.635 0.500 0.222
Sb: 0.500 0.000 0.500


8.
The following is a GGA-PBE calculation of crystalline Mg4FeSb at its relaxed geometry, from Alexandria.

Computed properties:
E_form (uncorrected), eV per atom: 0.374
Total energy, eV/cell: -16.72
Total magnetic moment, μB/cell: 1.952

Cell lengths 5.655, 5.655, 5.655 Å; angles 60.00, 60.00, 60.00 degrees
Atoms (fractional coordinates):
Mg: 0.376 0.376 0.376
Mg: 0.376 0.376 0.873
Mg: 0.376 0.873 0.376
Mg: 0.873 0.376 0.376
Fe: 0.750 0.750 0.750
Sb: 0.000 0.000 0.000